# Ca2TlW, optimized geometry, DFT PBE-GGA
# Energy relative to the elements, meV per atom: 609
# Total moment, μB per formula unit: 0.0
data_Ca2TlW
_chemical_formula_sum 'Ca6 Tl3 W3'
_cell_length_a 3.2937
_cell_length_b 3.2937
_cell_length_c 31.6217
_cell_angle_alpha 90.00
_cell_angle_beta 90.00
_cell_angle_gamma 120.00
_space_group_name_H-M_alt 'R -3 m'
_space_group_IT_number 166
_space_group_name_Hall '-R 3 2"'
loop_
_atom_site_label
_atom_site_fract_x
_atom_site_fract_y
_atom_site_fract_z
Ca1 0.0000 0.0000 0.2452
Tl1 0.0000 0.0000 0.0000
W1 0.0000 0.0000 0.5000